A plane-wave DFT calculation with GGA-PBE was carried out for an optimized crystal structure of LaAgAs2.

Calculated values
Density of states at the Fermi level   3.93 states/eV per cell
Theoretical density   7.020 g/cm3
Symmetry   C2/m (12)
Energy   -4.825 eV per atom
ΔH_f (0 K)   -0.56 eV per atom

Geometry as extended XYZ:
```
8
Lattice="8.294 0.000 0.000 0.000 4.814 0.000 -1.977 0.000 4.699" Properties=species:S:1:pos:R:3 pbc="T T T"
La 0.000 0.000 0.000
La 4.147 2.407 0.000
Ag -0.989 2.407 2.349
Ag 3.159 0.000 2.349
As 0.690 0.000 3.157
As 1.480 2.407 1.541
As 4.837 2.407 3.157
As 5.627 0.000 1.541
```